{"formula": "ZrBrO2F", "functional": "PBE", "state": "relaxed", "raw_formation_energy_mev_per_atom": -1894, "crystal_system": "tetragonal", "space_group": "P4/mmm", "lattice_angstrom": [[4.234, 0.000, 0.000], [0.000, 4.234, 0.000], [0.000, 0.000, 4.265]], "species": ["Zr", "Br", "O", "O", "F"], "fractional_positions": [[0.000, 0.000, 0.000], [0.500, 0.500, 0.500], [0.000, 0.500, 0.000], [0.500, 0.000, 0.000], [0.000, 0.000, 0.500]]}